[1]
{
  "formula": "Dy2Ga2Pd3Pt",
  "functional": "PBE-GGA",
  "state": "relaxed",
  "lattice": [[4.4010, 0.0000, 0.0000], [-2.2005, 3.8114, 0.0000], [0.0000, 0.0000, 9.0667]],
  "species": ["Dy", "Dy", "Ga", "Ga", "Pd", "Pd", "Pd", "Pt"],
  "fractional_positions": [[0.0000, 0.0000, 0.0000], [0.3333, 0.6667, 0.4947], [0.6667, 0.3333, 0.2526], [0.6667, 0.3333, 0.7499], [0.0000, 0.0000, 0.6698], [0.3333, 0.6667, 0.1634], [0.3333, 0.6667, 0.8302], [0.0000, 0.0000, 0.3304]],
  "m_tot_mub_per_cell": 0.0,
  "energy_ry_per_atom": -0.40826
}

---

[2]
{
  "formula": "GdFeSi2Pd",
  "functional": "PBE-GGA",
  "state": "relaxed",
  "lattice": [[4.0159, 0.0000, 0.0000], [0.0000, 4.0159, 0.0000], [0.0000, 0.0000, 9.9817]],
  "species": ["Gd", "Gd", "Fe", "Fe", "Si", "Si", "Si", "Si", "Pd", "Pd"],
  "fractional_positions": [[0.0000, 0.0000, 0.0000], [0.5000, 0.5000, 0.5000], [0.0000, 0.5000, 0.2500], [0.5000, 0.0000, 0.7500], [0.0000, 0.0000, 0.3778], [0.0000, 0.0000, 0.6222], [0.5000, 0.5000, 0.1222], [0.5000, 0.5000, 0.8778], [0.0000, 0.5000, 0.7500], [0.5000, 0.0000, 0.2500]],
  "m_tot_mub_per_cell": 0.5,
  "energy_ry_per_atom": -0.48263
}

---

[3]
{
  "formula": "CdPAuO",
  "functional": "PBE-GGA",
  "state": "relaxed",
  "lattice": [[4.3069, 0.0000, 0.0000], [0.0000, 4.3069, 0.0000], [0.0000, 0.0000, 9.0584]],
  "species": ["Cd", "Cd", "P", "P", "Au", "Au", "O", "O"],
  "fractional_positions": [[0.2500, 0.7500, 0.0000], [0.7500, 0.2500, 0.0000], [0.2500, 0.2500, 0.1658], [0.7500, 0.7500, 0.8342], [0.2500, 0.2500, 0.4252], [0.7500, 0.7500, 0.5748], [0.2500, 0.7500, 0.5000], [0.7500, 0.2500, 0.5000]],
  "e_above_lowest_polymorph_mev_per_atom": 424
}

---

[4]
{
  "formula": "HgIr2O4",
  "functional": "PBE-GGA",
  "state": "relaxed",
  "lattice": [[0.0000, 4.5201, 4.5201], [4.5201, 0.0000, 4.5201], [4.5201, 4.5201, 0.0000]],
  "species": ["Hg", "Hg", "Ir", "Ir", "Ir", "Ir", "O", "O", "O", "O", "O", "O", "O", "O"],
  "fractional_positions": [[0.1250, 0.1250, 0.1250], [0.8750, 0.8750, 0.8750], [0.0000, 0.5000, 0.5000], [0.5000, 0.0000, 0.5000], [0.5000, 0.5000, 0.0000], [0.5000, 0.5000, 0.5000], [0.2733, 0.2733, 0.2733], [0.2733, 0.2733, 0.6802], [0.2733, 0.6802, 0.2733], [0.3198, 0.7267, 0.7267], [0.6802, 0.2733, 0.2733], [0.7267, 0.3198, 0.7267], [0.7267, 0.7267, 0.3198], [0.7267, 0.7267, 0.7267]],
  "m_tot_mub_per_cell": 0.0,
  "e_above_lowest_polymorph_mev_per_atom": 24
}

---

[5]
{
  "formula": "RbNdU",
  "functional": "PBE-GGA",
  "state": "relaxed",
  "lattice": [[8.4056, 0.0000, 0.0000], [0.0000, 8.4056, 0.0000], [0.0000, 0.0000, 8.4056]],
  "species": ["Rb", "Rb", "Rb", "Rb", "Nd", "Nd", "Nd", "Nd", "U", "U", "U", "U"],
  "fractional_positions": [[0.0000, 0.0000, 0.0000], [0.0000, 0.5000, 0.5000], [0.5000, 0.0000, 0.5000], [0.5000, 0.5000, 0.0000], [0.0000, 0.0000, 0.5000], [0.0000, 0.5000, 0.0000], [0.5000, 0.0000, 0.0000], [0.5000, 0.5000, 0.5000], [0.2500, 0.2500, 0.7500], [0.2500, 0.7500, 0.2500], [0.7500, 0.2500, 0.2500], [0.7500, 0.7500, 0.7500]],
  "m_tot_mub_per_cell": 27.0,
  "e_above_lowest_polymorph_mev_per_atom": 0
}

---

[6]
{
  "formula": "HfMg",
  "functional": "PBE-GGA",
  "state": "relaxed",
  "lattice": [[5.0370, 0.0000, 0.0000], [0.0000, 9.5760, 0.0000], [0.0000, 0.0000, 5.4321]],
  "species": ["Hf", "Hf", "Hf", "Hf", "Hf", "Hf", "Mg", "Mg", "Mg", "Mg", "Mg", "Mg"],
  "fractional_positions": [[0.0000, 0.0706, 0.0000], [0.0000, 0.4137, 0.0441], [0.0000, 0.5863, 0.5441], [0.0000, 0.9294, 0.5000], [0.5000, 0.4232, 0.7030], [0.5000, 0.5768, 0.2030], [0.0000, 0.2494, 0.5290], [0.0000, 0.7506, 0.0290], [0.5000, 0.0883, 0.6803], [0.5000, 0.2411, 0.1865], [0.5000, 0.7589, 0.6865], [0.5000, 0.9117, 0.1803]],
  "m_tot_mub_per_cell": 0.1,
  "energy_ry_per_atom": -0.41069
}